Entry 1:
Density functional theory data (PBE) for an optimized crystal structure of Y2Ho2CBr2Cl3.

a b c (Å): 8.982 8.982 7.814
angles (deg): 102.92 102.92 24.12
Fractional coordinates of all 10 atoms:
Y 0.000 0.000 0.211
Y 0.000 0.000 0.789
Ho 0.361 0.361 0.923
Ho 0.639 0.639 0.077
C 0.500 0.500 0.000
Br 0.171 0.171 0.823
Br 0.829 0.829 0.177
Cl 0.161 0.161 0.332
Cl 0.500 0.500 0.500
Cl 0.839 0.839 0.668

Results
density	5.2	Mg/m³
ΔE to the lowest computed polymorph	1	meV per atom



Entry 2:
Density functional theory data (PBE) for an optimized crystal structure of Y2Ho2CBr3Cl2.

a b c (Å): 8.771 8.771 8.089
angles (deg): 102.89 102.89 24.84
Fractional coordinates of all 10 atoms:
Y 0.144 0.144 0.074
Y 0.856 0.856 0.926
Ho 0.498 0.498 0.200
Ho 0.502 0.502 0.800
C 0.000 0.000 0.000
Br 0.000 0.000 0.500
Br 0.332 0.332 0.656
Br 0.668 0.668 0.344
Cl 0.330 0.330 0.158
Cl 0.670 0.670 0.842

Results
density	5.4	Mg/m³
ΔE to the lowest computed polymorph	4	meV per atom



Entry 3:
Density functional theory data (PBE) for an optimized crystal structure of Nd4CIBr2Cl2.

a b c (Å): 9.377 9.377 8.791
angles (deg): 104.59 104.59 24.59
Fractional coordinates of all 10 atoms:
Nd 0.000 0.000 0.197
Nd 0.000 0.000 0.803
Nd 0.358 0.358 0.919
Nd 0.642 0.642 0.081
C 0.500 0.500 0.000
I 0.500 0.500 0.500
Br 0.170 0.170 0.845
Br 0.830 0.830 0.155
Cl 0.161 0.161 0.316
Cl 0.839 0.839 0.684

Results
energy	-5.1622	eV per atom
density	5.1	Mg/m³



Entry 4:
Density functional theory data (PBE) for an optimized crystal structure of Nd4C2I2Br2Cl.

a b c (Å): 10.560 10.560 8.227
angles (deg): 111.22 111.22 21.64
Fractional coordinates of all 11 atoms:
Nd 0.003 0.003 0.296
Nd 0.346 0.346 0.354
Nd 0.654 0.654 0.646
Nd 0.997 0.997 0.704
C 0.464 0.464 0.465
C 0.536 0.536 0.535
I 0.160 0.160 0.948
I 0.840 0.840 0.052
Br 0.164 0.164 0.388
Br 0.836 0.836 0.612
Cl 0.500 0.500 0.000

Results
energy	-5.4290	eV per atom
density	5.5	Mg/m³



Entry 5:
Density functional theory data (PBE) for an optimized crystal structure of Nd4C2IBr2Cl2.

a b c (Å): 10.035 10.035 8.450
angles (deg): 113.09 113.09 23.00
Fractional coordinates of all 11 atoms:
Nd 0.003 0.003 0.308
Nd 0.336 0.336 0.344
Nd 0.664 0.664 0.656
Nd 0.997 0.997 0.692
C 0.461 0.461 0.462
C 0.539 0.539 0.538
I 0.500 0.500 0.000
Br 0.164 0.164 0.922
Br 0.836 0.836 0.078
Cl 0.167 0.167 0.414
Cl 0.833 0.833 0.586

Results
energy	-5.5686	eV per atom
density	5.2	Mg/m³



Entry 6:
Density functional theory data (PBE) for an optimized crystal structure of Nd4CIBr2Cl2.

a b c (Å): 9.147 9.147 8.808
angles (deg): 104.43 104.43 25.26
Fractional coordinates of all 10 atoms:
Nd 0.002 0.002 0.305
Nd 0.355 0.355 0.421
Nd 0.645 0.645 0.579
Nd 0.998 0.998 0.695
C 0.500 0.500 0.500
I 0.500 0.500 0.000
Br 0.170 0.170 0.835
Br 0.830 0.830 0.165
Cl 0.171 0.171 0.362
Cl 0.829 0.829 0.638

Results
energy	-5.1627	eV per atom
density	5.2	Mg/m³



Entry 7:
Density functional theory data (PBE) for an optimized crystal structure of Pr2Nd2CI2Br2Cl.

a b c (Å): 9.644 9.644 8.367
angles (deg): 100.97 100.97 23.95
Fractional coordinates of all 10 atoms:
Pr 0.003 0.003 0.289
Pr 0.997 0.997 0.711
Nd 0.364 0.364 0.435
Nd 0.636 0.636 0.565
C 0.500 0.500 0.500
I 0.166 0.166 0.858
I 0.834 0.834 0.142
Br 0.170 0.170 0.323
Br 0.830 0.830 0.677
Cl 0.500 0.500 0.000

Results
density	5.5	Mg/m³
ΔE to the lowest computed polymorph	7	meV per atom



Entry 8:
Density functional theory data (PBE) for an optimized crystal structure of Pr2Nd2CI2Br2Cl.

a b c (Å): 9.750 9.750 8.318
angles (deg): 102.44 102.44 23.60
Fractional coordinates of all 10 atoms:
Pr 0.137 0.137 0.074
Pr 0.863 0.863 0.926
Nd 0.499 0.499 0.211
Nd 0.501 0.501 0.789
C 0.000 0.000 0.000
I 0.329 0.329 0.198
I 0.671 0.671 0.802
Br 0.343 0.343 0.653
Br 0.657 0.657 0.347
Cl 0.000 0.000 0.500

Results
density	5.5	Mg/m³
ΔE to the lowest computed polymorph	0	meV per atom



Entry 9:
Density functional theory data (PBE) for an optimized crystal structure of Pr2Nd2CI2BrCl2.

a b c (Å): 9.308 9.308 8.568
angles (deg): 101.37 101.37 24.96
Fractional coordinates of all 10 atoms:
Pr 0.004 0.004 0.296
Pr 0.996 0.996 0.704
Nd 0.358 0.358 0.434
Nd 0.642 0.642 0.566
C 0.500 0.500 0.500
I 0.171 0.171 0.853
I 0.829 0.829 0.147
Br 0.500 0.500 0.000
Cl 0.170 0.170 0.346
Cl 0.830 0.830 0.654

Results
density	5.3	Mg/m³
ΔE to the lowest computed polymorph	0	meV per atom



Entry 10:
Density functional theory data (PBE) for an optimized crystal structure of Pr2Nd2CI2Br2Cl.

a b c (Å): 9.633 9.633 8.358
angles (deg): 101.08 101.08 23.97
Fractional coordinates of all 10 atoms:
Pr 0.138 0.138 0.066
Pr 0.862 0.862 0.934
Nd 0.497 0.497 0.210
Nd 0.503 0.503 0.790
C 0.000 0.000 0.000
I 0.335 0.335 0.638
I 0.665 0.665 0.362
Br 0.332 0.332 0.182
Br 0.668 0.668 0.818
Cl 0.000 0.000 0.500

Results
density	5.5	Mg/m³
ΔE to the lowest computed polymorph	12	meV per atom



Entry 11:
Density functional theory data (PBE) for an optimized crystal structure of Pr2Nd2CI2BrCl2.

a b c (Å): 9.350 9.350 8.498
angles (deg): 101.44 101.44 24.79
Fractional coordinates of all 10 atoms:
Pr 0.142 0.142 0.066
Pr 0.858 0.858 0.934
Nd 0.496 0.496 0.203
Nd 0.504 0.504 0.797
C 0.000 0.000 0.000
I 0.330 0.330 0.642
I 0.670 0.670 0.358
Br 0.000 0.000 0.500
Cl 0.332 0.332 0.161
Cl 0.668 0.668 0.839

Results
density	5.4	Mg/m³
ΔE to the lowest computed polymorph	3	meV per atom



Entry 12:
Density functional theory data (PBE) for an optimized crystal structure of Nd2Sc2CIBr2Cl2.

a b c (Å): 10.019 10.019 8.960
angles (deg): 103.50 103.50 21.85
Fractional coordinates of all 10 atoms:
Nd 0.001 0.001 0.196
Nd 0.999 0.999 0.804
Sc 0.383 0.383 0.937
Sc 0.617 0.617 0.063
C 0.500 0.500 0.000
I 0.500 0.500 0.500
Br 0.156 0.156 0.875
Br 0.844 0.844 0.125
Cl 0.150 0.150 0.267
Cl 0.850 0.850 0.733

Results
density	3.8	Mg/m³
ΔE to the lowest computed polymorph	0	meV per atom



Entry 13:
Density functional theory data (PBE) for an optimized crystal structure of Nd2Sc2CI2Br2Cl.

a b c (Å): 9.371 9.371 8.080
angles (deg): 101.89 101.89 23.44
Fractional coordinates of all 10 atoms:
Nd 0.138 0.138 0.077
Nd 0.862 0.862 0.923
Sc 0.498 0.498 0.189
Sc 0.502 0.502 0.811
C 0.000 0.000 0.000
I 0.333 0.333 0.209
I 0.667 0.667 0.791
Br 0.354 0.354 0.647
Br 0.646 0.646 0.353
Cl 0.000 0.000 0.500

Results
density	5.1	Mg/m³
ΔE to the lowest computed polymorph	87	meV per atom



Entry 14:
Density functional theory data (PBE) for an optimized crystal structure of Nd2Sc2CI2BrCl2.

a b c (Å): 10.285 10.285 8.461
angles (deg): 102.97 102.97 21.38
Fractional coordinates of all 10 atoms:
Nd 0.001 0.001 0.207
Nd 0.999 0.999 0.793
Sc 0.386 0.386 0.934
Sc 0.614 0.614 0.066
C 0.500 0.500 0.000
I 0.160 0.160 0.849
I 0.840 0.840 0.151
Br 0.500 0.500 0.500
Cl 0.146 0.146 0.282
Cl 0.854 0.854 0.718

Results
energy	-5.3639	eV per atom
density	4.2	Mg/m³



Entry 15:
Density functional theory data (PBE) for an optimized crystal structure of Nd2Sc2CI2Br2Cl.

a b c (Å): 10.336 10.336 8.166
angles (deg): 99.79 99.79 21.37
Fractional coordinates of all 10 atoms:
Nd 0.001 0.001 0.286
Nd 0.999 0.999 0.714
Sc 0.388 0.388 0.451
Sc 0.612 0.612 0.549
C 0.500 0.500 0.500
I 0.158 0.158 0.819
I 0.842 0.842 0.181
Br 0.151 0.151 0.341
Br 0.849 0.849 0.659
Cl 0.500 0.500 0.000

Results
density	4.5	Mg/m³
ΔE to the lowest computed polymorph	0	meV per atom



Entry 16:
Density functional theory data (PBE) for an optimized crystal structure of Nd2Sc2CI2Br2Cl.

a b c (Å): 9.234 9.234 8.144
angles (deg): 102.77 102.77 23.85
Fractional coordinates of all 10 atoms:
Nd 0.140 0.140 0.070
Nd 0.860 0.860 0.930
Sc 0.499 0.499 0.187
Sc 0.501 0.501 0.813
C 0.000 0.000 0.000
I 0.341 0.341 0.627
I 0.659 0.659 0.373
Br 0.341 0.341 0.194
Br 0.659 0.659 0.806
Cl 0.000 0.000 0.500

Results
density	5.1	Mg/m³
ΔE to the lowest computed polymorph	104	meV per atom



Entry 17:
Density functional theory data (PBE) for an optimized crystal structure of Nd2Sc2CIBr2Cl2.

a b c (Å): 9.040 9.040 8.105
angles (deg): 103.89 103.89 24.13
Fractional coordinates of all 10 atoms:
Nd 0.144 0.144 0.083
Nd 0.856 0.856 0.917
Sc 0.500 0.500 0.184
Sc 0.500 0.500 0.816
C 0.000 0.000 0.000
I 0.000 0.000 0.500
Br 0.335 0.335 0.186
Br 0.665 0.665 0.814
Cl 0.351 0.351 0.661
Cl 0.649 0.649 0.339

Results
density	4.7	Mg/m³
ΔE to the lowest computed polymorph	25	meV per atom



Entry 18:
Density functional theory data (PBE) for an optimized crystal structure of Nd2Sc2CIBr2Cl2.

a b c (Å): 8.864 8.864 8.139
angles (deg): 105.56 105.56 24.70
Fractional coordinates of all 10 atoms:
Nd 0.148 0.148 0.083
Nd 0.852 0.852 0.917
Sc 0.499 0.499 0.816
Sc 0.501 0.501 0.184
C 0.000 0.000 0.000
I 0.000 0.000 0.500
Br 0.337 0.337 0.637
Br 0.663 0.663 0.363
Cl 0.341 0.341 0.169
Cl 0.659 0.659 0.831

Results
density	4.8	Mg/m³
ΔE to the lowest computed polymorph	32	meV per atom



Entry 19:
Density functional theory data (PBE) for an optimized crystal structure of Nd2Sm2C2I2BrCl2.

a b c (Å): 9.804 9.804 8.308
angles (deg): 102.19 102.19 23.26
Fractional coordinates of all 11 atoms:
Nd 0.003 0.003 0.300
Nd 0.997 0.997 0.700
Sm 0.344 0.344 0.416
Sm 0.656 0.656 0.584
C 0.463 0.463 0.480
C 0.537 0.537 0.520
I 0.165 0.165 0.874
I 0.835 0.835 0.126
Br 0.500 0.500 0.000
Cl 0.172 0.172 0.350
Cl 0.828 0.828 0.650

Results
density	5.5	Mg/m³
ΔE to the lowest computed polymorph	12	meV per atom



Entry 20:
Density functional theory data (PBE) for an optimized crystal structure of Nd2Sm2C2I2BrCl2.

a b c (Å): 9.853 9.853 8.264
angles (deg): 103.16 103.16 22.98
Fractional coordinates of all 11 atoms:
Nd 0.158 0.158 0.084
Nd 0.842 0.842 0.916
Sm 0.497 0.497 0.198
Sm 0.503 0.503 0.802
C 0.037 0.037 0.018
C 0.963 0.963 0.982
I 0.338 0.338 0.620
I 0.662 0.662 0.380
Br 0.000 0.000 0.500
Cl 0.332 0.332 0.161
Cl 0.668 0.668 0.839

Results
density	5.5	Mg/m³
ΔE to the lowest computed polymorph	36	meV per atom



Entry 21:
Density functional theory data (PBE) for an optimized crystal structure of Nd2Sm2C2I2BrCl2.

a b c (Å): 10.155 10.155 8.238
angles (deg): 104.21 104.21 22.45
Fractional coordinates of all 11 atoms:
Nd 0.002 0.002 0.204
Nd 0.998 0.998 0.796
Sm 0.348 0.348 0.894
Sm 0.652 0.652 0.106
C 0.464 0.464 0.977
C 0.536 0.536 0.023
I 0.168 0.168 0.818
I 0.832 0.832 0.182
Br 0.500 0.500 0.500
Cl 0.155 0.155 0.346
Cl 0.845 0.845 0.654

Results
density	5.4	Mg/m³
ΔE to the lowest computed polymorph	0	meV per atom



Entry 22:
Density functional theory data (PBE) for an optimized crystal structure of Nd2Sm2C2I2BrCl2.

a b c (Å): 10.140 10.140 8.193
angles (deg): 102.04 102.04 22.26
Fractional coordinates of all 11 atoms:
Nd 0.152 0.152 0.101
Nd 0.848 0.848 0.899
Sm 0.500 0.500 0.201
Sm 0.500 0.500 0.799
C 0.036 0.036 0.022
C 0.964 0.964 0.978
I 0.332 0.332 0.196
I 0.668 0.668 0.804
Br 0.000 0.000 0.500
Cl 0.354 0.354 0.654
Cl 0.646 0.646 0.346

Results
density	5.4	Mg/m³
ΔE to the lowest computed polymorph	18	meV per atom